The following is a DFT calculation (PBE-GGA) of a relaxed K4CdHg2Au2 crystal.

Computed properties:
Density ... 5.67 g/cm³
Total energy ... -1.607 eV per atom
DFT formation energy ... -0.2218 eV/atom

Unit cell a=10.184 b=9.625 c=6.368 alpha=90.00 beta=93.13 gamma=90.00
Space group C2/m (No. 12)
Asymmetric unit:
K1 0.126 0.204 0.242 (multiplicity 8)
Cd1 0.000 0.500 0.500 (multiplicity 2)
Hg1 0.175 0.000 0.748 (multiplicity 4)
Au1 0.124 0.500 0.908 (multiplicity 4)



The following is a DFT calculation (PBE-GGA) of a relaxed ZrFeN crystal.

Computed properties:
Energy relative to the elements, uncorrected ... -715 meV/atom
Density ... 6.81 g/cm³
Total energy ... -9.160 eV per atom

Unit cell a=3.200 b=3.383 c=7.265 alpha=90.00 beta=92.23 gamma=90.00
Space group Pm (No. 6)
Asymmetric unit:
Zr1 0.000 0.000 0.000 (multiplicity 1)
Zr2 0.463 0.500 0.658 (multiplicity 1)
Fe1 0.419 0.500 0.276 (multiplicity 1)
Fe2 0.927 0.000 0.415 (multiplicity 1)
N1 0.528 0.000 0.198 (multiplicity 1)
N2 0.970 0.000 0.686 (multiplicity 1)



The following is a DFT calculation (PBE-GGA) of a relaxed K3NbRh3O8 crystal.

Computed properties:
Energy relative to the elements, uncorrected ... -1289 meV/atom
Density ... 5.02 g/cm³
Total energy ... -6.295 eV per atom

Unit cell a=11.027 b=6.356 c=7.127 alpha=90.00 beta=121.09 gamma=90.00
Space group C2/m (No. 12)
Asymmetric unit:
K1 0.000 0.000 0.000 (multiplicity 2)
K2 0.250 0.250 0.000 (multiplicity 4)
Nb1 0.000 0.000 0.500 (multiplicity 2)
Rh1 0.000 0.500 0.500 (multiplicity 2)
Rh2 0.250 0.250 0.500 (multiplicity 4)
O1 0.025 0.245 0.329 (multiplicity 8)
O2 0.220 0.000 0.671 (multiplicity 4)
O3 0.223 0.500 0.669 (multiplicity 4)



The following is a DFT calculation (PBE-GGA) of a relaxed Na3Cd3In crystal.

Computed properties:
Density ... 4.85 g/cm³
Total energy ... -1.426 eV per atom
DFT formation energy ... -0.0768 eV/atom

Unit cell a=8.746 b=5.383 c=8.750 alpha=90.00 beta=119.97 gamma=90.00
Space group P2_1/m (No. 11)
Asymmetric unit:
Na1 0.033 0.250 0.406 (multiplicity 2)
Na2 0.128 0.750 0.034 (multiplicity 2)
Na3 0.406 0.750 0.872 (multiplicity 2)
Cd1 0.266 0.750 0.442 (multiplicity 2)
Cd2 0.324 0.250 0.266 (multiplicity 2)
Cd3 0.442 0.250 0.676 (multiplicity 2)
In1 0.167 0.250 0.833 (multiplicity 2)



The following is a DFT calculation (PBE-GGA) of a relaxed PrYCu crystal.

Computed properties:
Density ... 6.07 g/cm³
Total energy ... -5.213 eV per atom
DFT formation energy ... -0.0993 eV/atom

Unit cell a=3.560 b=3.560 c=12.658 alpha=90.00 beta=90.00 gamma=90.00
Space group I4mm (No. 107)
Asymmetric unit:
Pr1 0.000 0.000 0.000 (multiplicity 2)
Y1 0.000 0.000 0.724 (multiplicity 2)
Cu1 0.000 0.000 0.346 (multiplicity 2)



The following is a DFT calculation (PBE-GGA) of a relaxed NpUTl2S4 crystal.

Computed properties:
Energy relative to the elements, uncorrected ... -991 meV/atom
Density ... 7.79 g/cm³
Total energy ... -6.675 eV per atom

Unit cell a=7.040 b=4.051 c=7.931 alpha=90.00 beta=107.41 gamma=90.00
Space group P2/m (No. 10)
Asymmetric unit:
Np1 0.000 0.000 0.000 (multiplicity 1)
U1 0.500 0.500 0.000 (multiplicity 1)
Tl1 0.000 0.500 0.500 (multiplicity 1)
Tl2 0.500 0.000 0.500 (multiplicity 1)
S1 0.234 0.500 0.193 (multiplicity 2)
S2 0.273 0.000 0.806 (multiplicity 2)